Record 1
Mg6Tl3Hg after structural relaxation, computed with PBE-GGA.

Cell lengths 8.641, 5.234, 11.235 Å; angles 90.00, 111.40, 90.00 degrees
Space group P2_1/m (No. 11)
Inequivalent atoms, fractional coordinates:
Mg 0.040 0.250 0.422 x2
Mg 0.174 0.750 0.179 x2
Mg 0.262 0.250 0.013 x2
Mg 0.347 0.250 0.325 x2
Mg 0.361 0.750 0.799 x2
Mg 0.432 0.250 0.631 x2
Tl 0.032 0.750 0.880 x2
Tl 0.129 0.250 0.715 x2
Tl 0.283 0.750 0.484 x2
Hg 0.453 0.750 0.089 x2

* density: 6.7 g/cm³
* E: -1.7568 eV per atom
* formation enthalpy at 0 K: -60.0 meV/atom

***

Record 2
Mg3TlHg9 after structural relaxation, computed with PBE-GGA.

Cell lengths 6.324, 14.399, 7.715 Å; angles 90.00, 113.33, 90.00 degrees
Space group C2/m (No. 12)
Inequivalent atoms, fractional coordinates:
Mg 0.000 0.000 0.000 x2
Mg 0.250 0.250 0.500 x4
Tl 0.000 0.500 0.500 x2
Hg 0.000 0.500 0.000 x2
Hg 0.087 0.109 0.714 x8
Hg 0.163 0.329 0.830 x8

* density: 10.7 g/cm³
* E: -0.8285 eV per atom
* formation enthalpy at 0 K: -69.5 meV/atom

***

Record 3
Mg8TlHg2 after structural relaxation, computed with PBE-GGA.

Cell lengths 7.902, 13.126, 5.292 Å; angles 90.00, 109.56, 90.00 degrees
Space group C2/m (No. 12)
Inequivalent atoms, fractional coordinates:
Mg 0.000 0.227 0.000 x4
Mg 0.100 0.500 0.799 x4
Mg 0.206 0.115 0.623 x8
Tl 0.000 0.000 0.000 x2
Hg 0.000 0.303 0.500 x4

* density: 5.1 g/cm³
* energy above the most stable polymorph in this dataset: 32 meV/atom
* E: -1.5024 eV per atom
* formation enthalpy at 0 K: -72.7 meV/atom

***

Record 4
Mg6Tl2Hg after structural relaxation, computed with PBE-GGA.

Cell lengths 8.0778, 8.0778, 3.6992 Å; angles 90.00, 90.00, 120.00 degrees
Space group P-62m (No. 189)
Inequivalent atoms, fractional coordinates:
Mg 0.0000 0.3745 0.0000 x3
Mg 0.0000 0.7308 0.5000 x3
Tl 0.3333 0.6667 0.5000 x2
Hg 0.0000 0.0000 0.0000 x1

* density: 6.0 g/cm³
* E: -1.7214 eV per atom
* formation enthalpy at 0 K: -99.0 meV/atom

***

Record 5
Mg2TlHg9 after structural relaxation, computed with PBE-GGA.

Cell lengths 10.1725, 10.1725, 3.4474 Å; angles 90.00, 90.00, 120.00 degrees
Space group P6/mmm (No. 191)
Inequivalent atoms, fractional coordinates:
Mg 0.3333 0.6667 0.0000 x2
Tl 0.0000 0.0000 0.0000 x1
Hg 0.0000 0.5000 0.0000 x3
Hg 0.1815 0.3631 0.5000 x6

* density: 11.1 g/cm³
* energy above the most stable polymorph in this dataset: 4 meV/atom
* E: -0.7278 eV per atom
* formation enthalpy at 0 K: -38.5 meV/atom

***

Record 6
Mg8TlHg2 after structural relaxation, computed with PBE-GGA.

Cell lengths 4.676, 7.561, 14.029 Å; angles 90.00, 90.00, 90.00 degrees
Space group Immm (No. 71)
Inequivalent atoms, fractional coordinates:
Mg 0.000 0.000 0.156 x4
Mg 0.000 0.222 0.340 x8
Mg 0.000 0.297 0.000 x4
Tl 0.000 0.500 0.500 x2
Hg 0.000 0.500 0.185 x4

* density: 5.4 g/cm³
* energy above the most stable polymorph in this dataset: 0 meV/atom
* E: -1.5340 eV per atom
* formation enthalpy at 0 K: -104.3 meV/atom

***

Record 7
Mg2TlHg9 after structural relaxation, computed with PBE-GGA.

Cell lengths 4.497, 4.497, 14.979 Å; angles 90.00, 90.00, 90.00 degrees
Space group P4/mmm (No. 123)
Inequivalent atoms, fractional coordinates:
Mg 0.000 0.000 0.153 x2
Tl 0.000 0.000 0.500 x1
Hg 0.000 0.500 0.000 x2
Hg 0.000 0.500 0.314 x4
Hg 0.500 0.500 0.157 x2
Hg 0.500 0.500 0.500 x1

* density: 11.3 g/cm³
* energy above the most stable polymorph in this dataset: 0 meV/atom
* E: -0.7314 eV per atom
* formation enthalpy at 0 K: -42.1 meV/atom

***

Record 8
MgTlHg2 after structural relaxation, computed with PBE-GGA.

Cell lengths 8.299, 8.299, 6.230 Å; angles 90.00, 90.00, 90.00 degrees
Space group I-42d (No. 122)
Inequivalent atoms, fractional coordinates:
Mg 0.000 0.000 0.000 x4
Tl 0.000 0.000 0.500 x4
Hg 0.226 0.250 0.125 x8

* density: 9.8 g/cm³
* E: -1.1501 eV per atom
* formation enthalpy at 0 K: -8.9 meV/atom